LiCoSi2 (GGA-PBE, relaxed); energy relative to the elements, uncorrected = 48 meV per atom; Fermi-level density of states = 2.85 states/eV per cell
1.0
0.000 2.848 2.848
2.848 0.000 2.848
2.848 2.848 0.000
Li Co Si
1 1 2
Cartesian
0.000 0.000 0.000 Li
1.424 1.424 1.424 Co
2.848 2.848 2.848 Si
4.271 4.271 4.271 Si



Sr2HgGePd (GGA-PBE, relaxed); Fermi-level density of states = 3.12 states/eV per cell; ΔH_f (0 K) = -0.4751 eV per atom
1.0
5.892 0.000 0.000
0.000 5.892 0.000
0.000 0.000 4.716
Sr Hg Ge Pd
2 1 1 1
Cartesian
0.000 2.946 0.000 Sr
2.946 0.000 0.000 Sr
0.000 0.000 2.358 Hg
2.946 2.946 2.358 Ge
2.946 2.946 0.000 Pd



Pm4Pr2NdMg (GGA-PBE, relaxed); Fermi-level density of states = 31.09 states/eV per cell; ΔH_f (0 K) = 0.3138 eV per atom
1.0
-3.443 5.955 6.709
3.443 -5.955 6.709
3.443 5.955 -6.709
Pm Pr Nd Mg
8 4 2 2
Cartesian
3.443 0.175 3.350 Pm
0.000 0.175 3.359 Pm
1.724 2.978 0.196 Pm
5.162 2.978 0.196 Pm
-1.719 2.978 6.512 Pm
1.719 2.978 6.512 Pm
3.443 5.780 3.350 Pm
0.000 5.780 3.359 Pm
0.000 0.000 0.000 Pr
1.722 2.978 -3.354 Pr
1.722 -2.978 3.354 Pr
0.000 5.955 0.000 Pr
3.443 0.000 0.000 Nd
0.000 0.000 6.709 Nd
-1.722 2.978 3.354 Mg
1.722 2.978 3.354 Mg



Ce2Pm3Co4 (GGA-PBE, relaxed); Fermi-level density of states = 11.12 states/eV per cell; ΔH_f (0 K) = -0.1503 eV per atom
1.0
5.508 -2.034 0.000
5.508 2.034 0.000
-1.920 0.000 8.538
Ce Pm Co
2 3 4
Cartesian
1.447 0.000 2.381 Ce
7.650 0.000 6.156 Ce
-0.344 0.000 7.543 Pm
4.549 0.000 4.269 Pm
9.441 0.000 0.995 Pm
1.311 0.000 5.043 Co
2.946 0.000 7.370 Co
6.151 0.000 1.167 Co
7.786 0.000 3.494 Co



ThMgCdIn (GGA-PBE, relaxed); Fermi-level density of states = 2.99 states/eV per cell; ΔH_f (0 K) = -0.1885 eV per atom
1.0
4.599 0.000 0.000
0.000 4.697 0.000
0.000 0.000 4.834
Th Mg Cd In
1 1 1 1
Cartesian
0.000 0.000 0.000 Th
0.000 2.348 2.417 Mg
2.299 0.000 2.417 Cd
2.299 2.348 0.000 In



NaScC (GGA-PBE, relaxed); Fermi-level density of states = 0.98 states/eV per cell; ΔH_f (0 K) = 0.1262 eV per atom
1.0
-2.208 2.208 5.810
2.208 -2.208 5.810
2.208 2.208 -5.810
Na Sc C
2 2 2
Cartesian
0.000 0.000 2.669 Na
0.000 0.000 8.951 Na
2.208 0.000 0.000 Sc
0.000 2.208 0.000 Sc
0.000 0.000 5.082 C
0.000 0.000 6.538 C



Q: Number 2 is which compound?
A: Sr2HgGePd



Q: Which value of Fermi-level density of states does entry 3 give?
A: 31.09 states/eV per cell



Q: Fermi-level density of states of number 3 (Pm4Pr2NdMg)?
A: 31.09 states/eV per cell